# Be3Br

A geometry-optimized Be3Br structure (PBE, Alexandria via LeMat-Bulk).

Cell: 3.050 3.050 5.723 Å, 90.00 90.00 90.00°
Fractional coordinates of all 4 atoms:
Be 0.000 0.000 0.068
Be 0.500 0.500 0.250
Be 0.000 0.000 0.432
Br 0.500 0.500 0.750

Results
Magnetization = 0.00 μB per cell
Density of states at the Fermi level = 0.94 states/eV/f.u.
Raw formation energy = 751 meV/atom
Calculated total energy = -2.462 eV/atom
ΔE to the lowest computed polymorph = 2.24 eV/f.u.